[1]
# Gd3MgNi

A relaxed Gd3MgNi crystal (PBE-GGA, the Alexandria database).

The formation energy is -1.48 kcal/mol of atoms.

The structure belongs to space group Pm-3m (No. 221); the cell edges are 5.3073, 5.3073 and 5.3073 Å and the angles 90.00°, 90.00° and 90.00°. Symmetry generates all atoms from Gd at (0.0000, 0.0000, 0.5000), Mg at (0.5000, 0.5000, 0.5000) and Ni at (0.0000, 0.0000, 0.0000).

=====

[2]
# NdTmInSn

A relaxed NdTmInSn crystal (PBE-GGA, the Alexandria database).

The formation energy is -11.27 kcal/mol of atoms.

The structure belongs to space group F-43m (No. 216); the cell edges are 7.6187, 7.6187 and 7.6187 Å and the angles 90.00°, 90.00° and 90.00°. Symmetry generates all atoms from Nd at (0.0000, 0.0000, 0.0000), Tm at (0.0000, 0.0000, 0.5000), In at (0.2500, 0.2500, 0.7500) and Sn at (0.2500, 0.2500, 0.2500).

=====

[3]
# MgCrSe3

A relaxed MgCrSe3 crystal (PBE-GGA, the Alexandria database).

The formation energy from raw total energies is -0.0923 eV per atom.

The structure belongs to space group Pm-3m (No. 221); the cell edges are 4.8731, 4.8731 and 4.8731 Å and the angles 90.00°, 90.00° and 90.00°. Symmetry generates all atoms from Mg at (0.0000, 0.0000, 0.0000), Cr at (0.5000, 0.5000, 0.5000) and Se at (0.0000, 0.5000, 0.5000).

=====

[4]
# GeRh2I

A relaxed GeRh2I crystal (PBE-GGA, the Alexandria database).

The formation energy from raw total energies is 0.1590 eV per atom.

The structure belongs to space group I-42d (No. 122); the cell edges are 5.1421, 5.1421 and 13.6943 Å and the angles 90.00°, 90.00° and 90.00°. Symmetry generates all atoms from Ge at (0.0000, 0.0000, 0.0000), Rh at (0.2031, 0.2500, 0.1250) and I at (0.0000, 0.0000, 0.5000).

=====

[5]
# GdScTcHg

A relaxed GdScTcHg crystal (PBE-GGA, the Alexandria database).

The formation energy is -3.52 kcal/mol of atoms.

The structure belongs to space group F-43m (No. 216); the cell edges are 6.9688, 6.9688 and 6.9688 Å and the angles 90.00°, 90.00° and 90.00°. Symmetry generates all atoms from Gd at (0.0000, 0.0000, 0.0000), Sc at (0.0000, 0.0000, 0.5000), Tc at (0.2500, 0.2500, 0.2500) and Hg at (0.2500, 0.2500, 0.7500).

=====

[6]
# SmSi2Ni5

A relaxed SmSi2Ni5 crystal (PBE-GGA, the Alexandria database).

The formation energy from raw total energies is -0.5871 eV per atom.

The structure belongs to space group Immm (No. 71); the cell edges are 3.6374, 6.5859 and 9.1533 Å and the angles 90.00°, 90.00° and 90.00°. Symmetry generates all atoms from Sm at (0.0000, 0.0000, 0.0000), Si at (0.0000, 0.5000, 0.2437), Ni at (0.0000, 0.1874, 0.3505) and Ni at (0.0000, 0.5000, 0.0000).

=====

Theoretical density, respectively: 6.162 8.211 4.494 7.436 9.829 7.573 g/cm³.